No. 1
Below is NdTl2Sb after structural relaxation, with properties calculated at the PBE level.

a b c (Å): 4.8048 4.8048 4.9528
angles (deg): 90.00 90.00 90.00
With the nearest neighbours (Å) after each atom.
Atoms (fractional coordinates):
Nd1 0.0000 0.0000 0.0000  4 Sb 3.40, 8 Tl 3.45
Tl1 0.0000 0.5000 0.5000  4 Tl 3.40, 4 Sb 3.45, 4 Nd 3.45
Tl2 0.5000 0.0000 0.5000  4 Tl 3.40, 4 Sb 3.45, 4 Nd 3.45
Sb1 0.5000 0.5000 0.0000  4 Nd 3.40, 8 Tl 3.45

Output
Space group = P4/mmm, No. 123
ΔE_f (raw) = -437 meV/atom
Crystal system = tetragonal
E_tot = -3.842 eV per atom
Mass density = 9.80 Mg/m³
Relative energy among the computed polymorphs = 0.000 eV/atom
Spin magnetization = 0.00 μB/atom

***

No. 2
Below is Nd4Tl2Sb after structural relaxation, with properties calculated at the PBE level.

a b c (Å): 8.3225 8.3225 8.3225
angles (deg): 109.50 109.50 109.42
With the nearest neighbours (Å) after each atom.
Atoms (fractional coordinates):
Nd1 0.1259 0.0167 0.7485  2 Sb 3.19-3.46, 4 Tl 3.21-3.46
Nd2 0.1274 0.5182 0.7515  2 Sb 3.19-3.46, 4 Tl 3.21-3.46
Nd3 0.2682 0.3774 0.2515  2 Sb 3.19-3.46, 4 Tl 3.21-3.46
Nd4 0.4818 0.2333 0.6092  2 Sb 3.19-3.46, 4 Tl 3.21-3.46
Nd5 0.6226 0.8741 0.8908  2 Sb 3.19-3.46, 4 Tl 3.21-3.46
Nd6 0.6241 0.8726 0.3908  2 Sb 3.19-3.46, 4 Tl 3.21-3.46
Nd7 0.7667 0.3759 0.2485  2 Sb 3.19-3.46, 4 Tl 3.21-3.46
Nd8 0.9833 0.7318 0.1092  2 Sb 3.19-3.46, 4 Tl 3.21-3.46
Tl1 0.3750 0.0014 0.1264  8 Nd 3.21-3.46
Tl2 0.7514 0.6250 0.6264  8 Nd 3.21-3.46
Tl3 0.8750 0.2486 0.8736  8 Nd 3.21-3.46
Tl4 0.9986 0.1250 0.3736  8 Nd 3.21-3.46
Sb1 0.2500 0.7500 0.5000  8 Nd 3.19-3.46
Sb2 0.5000 0.5000 0.0000  8 Nd 3.19-3.46

Output
Space group = I-42d, No. 122
ΔE_f (raw) = -559 meV/atom
Crystal system = tetragonal
E_tot = -4.549 eV per atom
Mass density = 8.29 Mg/m³
Spin magnetization = 0.00 μB/atom

***

No. 3
Below is Nd3TlSb2 after structural relaxation, with properties calculated at the PBE level.

a b c (Å): 7.9537 7.9537 8.9203
angles (deg): 106.27 106.27 47.35
With the nearest neighbours (Å) after each atom.
Atoms (fractional coordinates):
Nd1 0.0004 0.9996 0.2500  4 Sb 3.19, 2 Tl 3.19
Nd2 0.9996 0.0004 0.7500  4 Sb 3.19, 2 Tl 3.19
Nd3 0.3232 0.3230 0.4116  4 Sb 3.13-3.20, 2 Tl 3.32
Nd4 0.3230 0.3232 0.9116  4 Sb 3.13-3.20, 2 Tl 3.32
Nd5 0.6770 0.6768 0.0884  4 Sb 3.13-3.20, 2 Tl 3.32
Nd6 0.6768 0.6770 0.5884  4 Sb 3.13-3.20, 2 Tl 3.32
Tl1 0.5005 0.4995 0.2500  6 Nd 3.19-3.32
Tl2 0.4995 0.5005 0.7500  6 Nd 3.19-3.32
Sb1 0.1644 0.1641 0.0822  6 Nd 3.13-3.20
Sb2 0.1641 0.1644 0.5822  6 Nd 3.13-3.20
Sb3 0.8359 0.8356 0.4178  6 Nd 3.13-3.20
Sb4 0.8356 0.8359 0.9178  6 Nd 3.13-3.20

Output
Space group = C2/c, No. 15
ΔE_f (raw) = -836 meV/atom
Crystal system = monoclinic
E_tot = -4.988 eV per atom
Mass density = 7.40 Mg/m³
Spin magnetization = 0.00 μB/atom

***

No. 4
Below is Nd6Tl5Sb after structural relaxation, with properties calculated at the PBE level.

a b c (Å): 9.3042 9.3042 9.3042
angles (deg): 147.39 124.22 66.13
With the nearest neighbours (Å) after each atom.
Atoms (fractional coordinates):
Nd1 0.0805 0.3363 0.7442  7 Tl 3.31-3.44, 1 Sb 3.32, 2 Nd 3.65
Nd2 0.2414 0.0000 0.2414  2 Sb 3.35, 6 Tl 3.40-3.50, 4 Nd 3.65
Nd3 0.4078 0.6637 0.7442  7 Tl 3.31-3.44, 1 Sb 3.32, 2 Nd 3.65
Nd4 0.5922 0.3363 0.2558  7 Tl 3.31-3.44, 1 Sb 3.32, 2 Nd 3.65
Nd5 0.7586 0.0000 0.7586  2 Sb 3.35, 6 Tl 3.40-3.50, 4 Nd 3.65
Nd6 0.9195 0.6637 0.2558  7 Tl 3.31-3.44, 1 Sb 3.32, 2 Nd 3.65
Tl1 0.1795 0.1795 0.0000  8 Nd 3.31-3.50, 2 Tl 3.58
Tl2 0.3368 0.8368 0.5000  8 Nd 3.40-3.44, 4 Tl 3.58-3.65
Tl3 0.5000 0.5000 0.0000  8 Nd 3.39-3.45, 4 Tl 3.65
Tl4 0.6632 0.1632 0.5000  8 Nd 3.40-3.44, 4 Tl 3.58-3.65
Tl5 0.8205 0.8205 0.0000  8 Nd 3.31-3.50, 2 Tl 3.58
Sb1 0.0000 0.5000 0.5000  8 Nd 3.32-3.35

Output
Space group = Immm, No. 71
ΔE_f (raw) = -478 meV/atom
Crystal system = orthorhombic
E_tot = -4.191 eV per atom
Mass density = 9.41 Mg/m³
Spin magnetization = 0.00 μB/atom

***

No. 5
Below is Nd2TmSb4 after structural relaxation, with properties calculated at the PBE level.

a b c (Å): 4.3452 4.3452 11.6918
angles (deg): 90.00 90.00 90.00
With the nearest neighbours (Å) after each atom.
Atoms (fractional coordinates):
Nd1 0.0000 0.5000 0.2117  8 Sb 3.29-3.34
Nd2 0.5000 0.0000 0.7883  8 Sb 3.29-3.34
Tm1 0.0000 0.0000 0.5000  4 Sb 3.00
Sb1 0.0000 0.0000 0.0000  4 Sb 3.07, 4 Nd 3.29
Sb2 0.0000 0.5000 0.6768  2 Tm 3.00, 4 Nd 3.34
Sb3 0.5000 0.0000 0.3232  2 Tm 3.00, 4 Nd 3.34
Sb4 0.5000 0.5000 0.0000  4 Sb 3.07, 4 Nd 3.29

Output
Space group = P-4m2, No. 115
ΔE_f (raw) = -848 meV/atom
Crystal system = tetragonal
E_tot = -5.205 eV per atom
Mass density = 7.10 Mg/m³
Spin magnetization = 0.00 μB/atom

***

No. 6
Below is NdTm3Sb3 after structural relaxation, with properties calculated at the PBE level.

a b c (Å): 8.0153 8.0153 8.0153
angles (deg): 68.49 68.49 68.49
With the nearest neighbours (Å) after each atom.
Atoms (fractional coordinates):
Nd1 0.1654 0.1654 0.1654  6 Sb 3.20-3.22
Nd2 0.8346 0.8346 0.8346  6 Sb 3.20-3.22
Tm1 0.1527 0.4148 0.6820  5 Sb 3.03-3.23
Tm2 0.3180 0.8473 0.5852  5 Sb 3.03-3.23
Tm3 0.4148 0.6820 0.1527  5 Sb 3.03-3.23
Tm4 0.5852 0.3180 0.8473  5 Sb 3.03-3.23
Tm5 0.6820 0.1527 0.4148  5 Sb 3.03-3.23
Tm6 0.8473 0.5852 0.3180  5 Sb 3.03-3.23
Sb1 0.0349 0.7937 0.4198  5 Tm 3.03-3.23, 2 Nd 3.20-3.22
Sb2 0.2063 0.5802 0.9651  5 Tm 3.03-3.23, 2 Nd 3.20-3.22
Sb3 0.4198 0.0349 0.7937  5 Tm 3.03-3.23, 2 Nd 3.20-3.22
Sb4 0.5802 0.9651 0.2063  5 Tm 3.03-3.23, 2 Nd 3.20-3.22
Sb5 0.7937 0.4198 0.0349  5 Tm 3.03-3.23, 2 Nd 3.20-3.22
Sb6 0.9651 0.2063 0.5802  5 Tm 3.03-3.23, 2 Nd 3.20-3.22

Output
Space group = R-3, No. 148
ΔE_f (raw) = -848 meV/atom
Crystal system = trigonal
E_tot = -5.212 eV per atom
Mass density = 7.86 Mg/m³
Spin magnetization = 0.00 μB/atom

***

Q: What is the formula in the third record?
A: Nd3TlSb2

***

Q: What is the E_tot in the sixth record?
A: -5.212 eV per atom